Computed, not measured: an optimized crystal structure of PrOsPd at the PBE-GGA level of DFT.

Values from the calculation:
The value obtained for the energy above the most stable polymorph in this dataset is 455 meV per atom. The formation energy from the elements comes out at 22.0 kcal/mol of atoms.

Geometry as CIF:
```
data_PrOsPd
_cell_length_a 6.565
_cell_length_b 6.565
_cell_length_c 6.565
_cell_angle_alpha 90.00
_cell_angle_beta 90.00
_cell_angle_gamma 90.00
_symmetry_space_group_name_H-M 'F -4 3 m'
_symmetry_Int_Tables_number 216
_symmetry_space_group_name_Hall 'F -4 2 3'
loop_
_atom_site_label
_atom_site_type_symbol
_atom_site_fract_x
_atom_site_fract_y
_atom_site_fract_z
Pr1 Pr 0.000 0.000 0.000
Os1 Os 0.250 0.250 0.750
Pd1 Pd 0.250 0.250 0.250
```

---

Computed, not measured: an optimized crystal structure of LuInAgPd at the PBE-GGA level of DFT.

Values from the calculation:
The value obtained for the energy above the most stable polymorph in this dataset is 182 meV per atom.

Geometry as CIF:
```
data_LuInAgPd
_cell_length_a 6.809
_cell_length_b 6.809
_cell_length_c 6.809
_cell_angle_alpha 90.00
_cell_angle_beta 90.00
_cell_angle_gamma 90.00
_symmetry_space_group_name_H-M 'F -4 3 m'
_symmetry_Int_Tables_number 216
_symmetry_space_group_name_Hall 'F -4 2 3'
loop_
_atom_site_label
_atom_site_type_symbol
_atom_site_fract_x
_atom_site_fract_y
_atom_site_fract_z
Lu1 Lu 0.000 0.000 0.000
In1 In 0.250 0.250 0.750
Ag1 Ag 0.250 0.250 0.250
Pd1 Pd 0.000 0.000 0.500
```

---

Computed, not measured: an optimized crystal structure of KTlTc at the PBE-GGA level of DFT.

Values from the calculation:
The value obtained for the energy above the most stable polymorph in this dataset is 426 meV per atom.

Geometry as CIF:
```
data_KTlTc
_cell_length_a 7.457
_cell_length_b 7.457
_cell_length_c 7.457
_cell_angle_alpha 90.00
_cell_angle_beta 90.00
_cell_angle_gamma 90.00
_symmetry_space_group_name_H-M 'F -4 3 m'
_symmetry_Int_Tables_number 216
_symmetry_space_group_name_Hall 'F -4 2 3'
loop_
_atom_site_label
_atom_site_type_symbol
_atom_site_fract_x
_atom_site_fract_y
_atom_site_fract_z
K1 K 0.000 0.000 0.000
Tl1 Tl 0.250 0.250 0.250
Tc1 Tc 0.250 0.250 0.750
```

---

Computed, not measured: an optimized crystal structure of Nd2CuGe2Au at the PBE-GGA level of DFT.

Geometry as CIF:
```
data_Nd2CuGe2Au
_cell_length_a 4.4421
_cell_length_b 4.4421
_cell_length_c 7.6987
_cell_angle_alpha 90.00
_cell_angle_beta 90.00
_cell_angle_gamma 120.00
_symmetry_space_group_name_H-M 'P 3 m 1'
_symmetry_Int_Tables_number 156
_symmetry_space_group_name_Hall 'P 3 -2"'
loop_
_atom_site_label
_atom_site_type_symbol
_atom_site_fract_x
_atom_site_fract_y
_atom_site_fract_z
Nd1 Nd 0.0000 0.0000 0.0000
Nd2 Nd 0.0000 0.0000 0.4919
Cu1 Cu 0.3333 0.6667 0.2707
Ge1 Ge 0.3333 0.6667 0.7094
Ge2 Ge 0.6667 0.3333 0.2243
Au1 Au 0.6667 0.3333 0.7709
```

---

Computed, not measured: an optimized crystal structure of MgZnSnN2 at the PBE-GGA level of DFT.

Geometry as CIF:
```
data_MgZnSnN2
_cell_length_a 3.3389
_cell_length_b 3.3389
_cell_length_c 7.4752
_cell_angle_alpha 90.00
_cell_angle_beta 90.00
_cell_angle_gamma 120.00
_symmetry_space_group_name_H-M 'P 3 m 1'
_symmetry_Int_Tables_number 156
_symmetry_space_group_name_Hall 'P 3 -2"'
loop_
_atom_site_label
_atom_site_type_symbol
_atom_site_fract_x
_atom_site_fract_y
_atom_site_fract_z
Mg1 Mg 0.0000 0.0000 0.0000
Zn1 Zn 0.6667 0.3333 0.6948
Sn1 Sn 0.3333 0.6667 0.3309
N1 N 0.0000 0.0000 0.7297
N2 N 0.6667 0.3333 0.1398
```

---

Computed, not measured: an optimized crystal structure of Mg4Pd3 at the PBE-GGA level of DFT.

Values from the calculation:
The value obtained for the energy above the most stable polymorph in this dataset is 108 meV per atom.

Geometry as CIF:
```
data_Mg4Pd3
_cell_length_a 7.5904
_cell_length_b 7.5904
_cell_length_c 4.8018
_cell_angle_alpha 90.00
_cell_angle_beta 90.00
_cell_angle_gamma 120.00
_symmetry_space_group_name_H-M 'P 63/m'
_symmetry_Int_Tables_number 176
_symmetry_space_group_name_Hall '-P 6c'
loop_
_atom_site_label
_atom_site_type_symbol
_atom_site_fract_x
_atom_site_fract_y
_atom_site_fract_z
Mg1 Mg 0.0834 0.6452 0.2500
Mg2 Mg 0.3333 0.6667 0.7500
Pd1 Pd 0.0463 0.7923 0.7500
```

---

Taking the records one at a time from the top gives raw total energy values of -6.1066; -4.2189; -2.9218; -5.0250; -4.7133; -3.5419 eV/atom.
Taking the records one at a time from the top gives V values of 283; 316; 415; 132; 72; 240 Å³/cell.